# CsLa3Br

A relaxed structure of CsLa3Br (PBE, the Alexandria database).

The offset from the most stable computed form is 0.000 eV per atom. For the density of states at the Fermi level, the calculation gives 1.7919 states/eV per atom.

The space group is Pm-3m (No. 221) and the conventional cell measures 5.9151, 5.9151 and 5.9151 Å, with angles of 90.00, 90.00 and 90.00 degrees. The asymmetric unit holds Cs at (0.0000, 0.0000, 0.0000), La at (0.0000, 0.5000, 0.5000) and Br at (0.5000, 0.5000, 0.5000).

# CsLaBr

A relaxed structure of CsLaBr (PBE, the Alexandria database).

For the density of states at the Fermi level, the calculation gives 1.1146 states/eV per atom.

The space group is Amm2 (No. 38) and the conventional cell measures 17.6520, 4.1596 and 7.1553 Å, with angles of 90.00, 90.00 and 90.00 degrees. The asymmetric unit holds Cs at (0.1446, 0.0000, 0.0000), La at (0.3797, 0.0000, 0.4314), Br at (0.0000, 0.0000, 0.3351) and Br at (0.5000, 0.0000, 0.0976).

Number 1: ΔE_f (raw) -60 meV/atom. Number 2: ΔE_f (raw) -680 meV/atom.